A relaxed structure of TcPt2Pb, computed with PBE.

The structure in extended XYZ format:
```
4
Lattice="4.5049 -1.5148 0.0000 4.5049 1.5148 0.0000 -1.0138 0.0000 5.2528" Properties=species:S:1:pos:R:3 pbc="T T T"
Tc 0.0000 0.0000 0.0000
Pt 4.0327 0.0000 2.1944
Pt 6.5037 0.0000 0.9523
Pb 1.5354 0.0000 3.6529
```

formation energy: 0.1776 eV/atom
D(E_F): 0.6078 states/eV per atom
volume: 71.7 Å³ per cell